(1)
The following is a PBE-GGA calculation of a relaxed SmHo2Ga6 crystal, from Alexandria. Values from VASP.

Quantum ESPRESSO input file:
```
&SYSTEM
  ibrav = 0, nat = 9, ntyp = 3
/
ATOMIC_SPECIES
Sm 150.36 Sm.upf
Ho 164.93 Ho.upf
Ga 69.72 Ga.upf
ATOMIC_POSITIONS crystal
Sm 0.000 0.500 0.000
Ho 0.874 0.874 0.748
Ho 0.126 0.126 0.252
Ga 0.685 0.879 0.370
Ga 0.315 0.121 0.630
Ga 0.315 0.509 0.630
Ga 0.500 0.185 0.000
Ga 0.500 0.815 0.000
Ga 0.685 0.491 0.370
CELL_PARAMETERS angstrom
-2.771 -1.923 2.697
4.797 0.317 5.154
-3.353 6.719 -2.112
```

Crystal system: orthorhombic
SG: No. 71
Total DFT energy (no corrections) (eV per atom): -4.039
Energy relative to the elements (eV per atom): -0.479
Energy above the most stable polymorph in this dataset (eV/atom): 0.158
Magnetization (μB/cell): 0.0

(2)
The following is a PBE-GGA calculation of a relaxed Er3Ag3RhO8 crystal, from Alexandria. Values from VASP.

Quantum ESPRESSO input file:
```
&SYSTEM
  ibrav = 0, nat = 15, ntyp = 4
/
ATOMIC_SPECIES
Er 167.26 Er.upf
Ag 107.87 Ag.upf
Rh 102.91 Rh.upf
O 16.00 O.upf
ATOMIC_POSITIONS crystal
Er 0.500 0.000 0.500
Er 0.500 0.500 0.500
Er 0.000 0.500 0.500
Ag 0.000 0.000 0.000
Ag 0.000 0.500 0.000
Ag 0.500 0.500 0.000
Rh 0.000 0.000 0.500
O 0.271 0.542 0.314
O 0.729 0.458 0.686
O 0.784 0.568 0.311
O 0.216 0.432 0.689
O 0.784 0.026 0.311
O 0.216 0.974 0.689
O 0.243 0.026 0.311
O 0.757 0.974 0.689
CELL_PARAMETERS angstrom
6.687 0.000 0.000
-3.343 5.789 -0.028
0.000 -3.847 5.760
```

Crystal system: monoclinic
SG: No. 12
Total DFT energy (no corrections) (eV per atom): -6.442
Formation energy (no corrections) (eV/atom): -1.82
Magnetization (μB/cell): 1.1